Record 1
Material: BeGe3Ru
Method: DFT, GGA-PBEsol
State: optimized geometry

## Properties
ΔH_f (0 K): 0.72 eV/atom
E: -5.075 eV per atom
SG: Pm-3m
DOS(E_F): 1.1289 states/eV per atom
V: 20.70 A^3/atom
magnetization: 0.00 Bohr magnetons per cell

a b c (Å): 4.695 4.695 4.695
angles (deg): 90.00 90.00 90.00
Fractional coordinates of all 5 atoms:
Ru  0.000  0.000  0.000
Ge  0.000  0.500  0.000
Ge  0.000  0.000  0.500
Ge  0.500  0.000  0.000
Be  0.500  0.500  0.500

***

Record 2
Material: PRu2W
Method: DFT, GGA-PBEsol
State: optimized geometry

## Properties
ΔH_f (0 K): -0.26 eV/atom
E: -10.246 eV per atom
SG: Immm
DOS(E_F): 0.6372 states/eV per atom
V: 13.21 A^3/atom
magnetization: 0.00 Bohr magnetons per cell

a b c (Å): 2.830 4.328 5.031
angles (deg): 115.47 106.33 90.00
Fractional coordinates of all 4 atoms:
P  0.000  0.500  0.000
Ru  0.716  0.716  0.433
Ru  0.284  0.284  0.567
W  0.500  0.000  0.000

***

Record 3
Material: BeCdRe
Method: DFT, GGA-PBEsol
State: optimized geometry

## Properties
ΔH_f (0 K): 0.44 eV/atom
energy above the most stable polymorph in this dataset: 0.0105 eV per atom
E: -5.739 eV per atom
SG: P3m1
DOS(E_F): 0.5435 states/eV per atom
V: 14.51 A^3/atom
magnetization: 0.00 Bohr magnetons per cell

a b c (Å): 2.763 2.763 6.586
angles (deg): 90.00 90.00 120.00
Fractional coordinates of all 3 atoms:
Re  0.667  0.333  0.300
Be  0.000  0.000  0.020
Cd  0.333  0.667  0.680

***

Record 4
Material: KLi5
Method: DFT, GGA-PBEsol
State: optimized geometry

## Properties
ΔH_f (0 K): 0.10 eV/atom
energy above the most stable polymorph in this dataset: 0.0091 eV per atom
E: -1.733 eV per atom
SG: F-43m
DOS(E_F): 0.4721 states/eV per atom
V: 27.66 A^3/atom
magnetization: 0.00 Bohr magnetons per cell

a b c (Å): 6.168 6.168 6.168
angles (deg): 60.00 60.00 60.00
Fractional coordinates of all 6 atoms:
K  0.000  0.000  0.000
Li  0.250  0.250  0.250
Li  0.623  0.131  0.623
Li  0.623  0.623  0.131
Li  0.623  0.623  0.623
Li  0.131  0.623  0.623

***

Record 5
Material: Tl2CrAu
Method: DFT, GGA-PBEsol
State: optimized geometry

## Properties
ΔH_f (0 K): 0.43 eV/atom
energy above the most stable polymorph in this dataset: 0.0251 eV per atom
E: -4.428 eV per atom
SG: Fm-3m
DOS(E_F): 0.3983 states/eV per atom
V: 20.35 A^3/atom
magnetization: 4.18 Bohr magnetons per cell

a b c (Å): 4.864 4.864 4.864
angles (deg): 60.00 60.00 60.00
Fractional coordinates of all 4 atoms:
Au  0.000  0.000  0.000
Cr  0.500  0.500  0.500
Tl  0.250  0.250  0.250
Tl  0.750  0.750  0.750

***

Record 6
Material: Li3Sc
Method: DFT, GGA-PBEsol
State: optimized geometry

## Properties
ΔH_f (0 K): 0.10 eV/atom
energy above the most stable polymorph in this dataset: 0.0000 eV per atom
E: -3.023 eV per atom
SG: R-3m
DOS(E_F): 0.8609 states/eV per atom
V: 21.06 A^3/atom
magnetization: 0.00 Bohr magnetons per cell

a b c (Å): 3.094 3.094 10.319
angles (deg): 81.38 81.38 60.00
Fractional coordinates of all 4 atoms:
Sc  0.000  0.000  0.000
Li  0.752  0.752  0.744
Li  0.500  0.500  0.500
Li  0.248  0.248  0.256

***

Record 7
Material: MgAl2Os
Method: DFT, GGA-PBEsol
State: optimized geometry

## Properties
ΔH_f (0 K): 0.02 eV/atom
energy above the most stable polymorph in this dataset: 0.2255 eV per atom
E: -5.512 eV per atom
SG: F-43m
DOS(E_F): 0.5915 states/eV per atom
V: 14.82 A^3/atom
magnetization: 0.00 Bohr magnetons per cell

a b c (Å): 4.377 4.377 4.377
angles (deg): 60.00 60.00 60.00
Fractional coordinates of all 4 atoms:
Al  0.000  0.000  0.000
Al  0.250  0.250  0.250
Mg  0.500  0.500  0.500
Os  0.750  0.750  0.750

***

Record 8
Material: NaSiTeF2
Method: DFT, GGA-PBEsol
State: optimized geometry

## Properties
uncorrected formation energy: -3.8 eV/f.u.
E: -3.661 eV per atom
SG: P4/mmm
DOS(E_F): 0.4421 states/eV per atom
V: 17.71 A^3/atom
magnetization: 0.61 Bohr magnetons per cell

a b c (Å): 4.050 4.050 5.398
angles (deg): 90.00 90.00 90.00
Fractional coordinates of all 5 atoms:
Na  0.000  0.000  0.000
Si  0.000  0.000  0.500
Te  0.500  0.500  0.500
F  0.000  0.500  0.000
F  0.500  0.000  0.000

***

Record 9
Material: Mn3InGe
Method: DFT, GGA-PBEsol
State: optimized geometry

## Properties
ΔH_f (0 K): 0.70 eV/atom
E: -6.743 eV per atom
SG: Pm-3m
DOS(E_F): 0.6512 states/eV per atom
V: 18.10 A^3/atom
magnetization: 9.69 Bohr magnetons per cell

a b c (Å): 4.490 4.490 4.490
angles (deg): 90.00 90.00 90.00
Fractional coordinates of all 5 atoms:
Ge  0.000  0.000  0.000
Mn  0.000  0.500  0.000
Mn  0.000  0.000  0.500
Mn  0.500  0.000  0.000
In  0.500  0.500  0.500

***

Record 10
Material: MgScNb2S
Method: DFT, GGA-PBEsol
State: optimized geometry

## Properties
uncorrected formation energy: -0.9 eV/f.u.
E: -7.053 eV per atom
SG: P4/mmm
DOS(E_F): 1.1685 states/eV per atom
V: 20.21 A^3/atom
magnetization: 0.00 Bohr magnetons per cell

a b c (Å): 4.592 4.592 4.793
angles (deg): 90.00 90.00 90.00
Fractional coordinates of all 5 atoms:
Sc  0.000  0.000  0.500
Nb  0.000  0.500  0.000
Nb  0.500  0.000  0.000
Mg  0.500  0.500  0.500
S  0.000  0.000  0.000

***

Record 11
Material: TaInRh2
Method: DFT, GGA-PBEsol
State: optimized geometry

## Properties
ΔH_f (0 K): -0.35 eV/atom
E: -8.301 eV per atom
SG: Pmm2
DOS(E_F): 0.7868 states/eV per atom
V: 15.85 A^3/atom
magnetization: 0.00 Bohr magnetons per cell

a b c (Å): 2.945 4.621 4.658
angles (deg): 90.00 89.99 90.00
Fractional coordinates of all 4 atoms:
In  0.375  0.500  0.843
Rh  0.875  0.000  0.915
Rh  0.875  0.500  0.337
Ta  0.375  0.000  0.405

***

Record 12
Material: Re5Ni4
Method: DFT, GGA-PBEsol
State: optimized geometry

## Properties
ΔH_f (0 K): 0.01 eV/atom
E: -10.138 eV per atom
SG: I4/mmm
DOS(E_F): 0.7236 states/eV per atom
V: 12.83 A^3/atom
magnetization: 0.00 Bohr magnetons per cell

a b c (Å): 3.749 5.858 5.858
angles (deg): 84.12 71.34 71.34
Fractional coordinates of all 9 atoms:
Ni  0.665  0.335  0.335
Ni  0.335  0.665  0.665
Ni  0.000  0.665  0.335
Ni  0.000  0.335  0.665
Re  0.000  0.000  0.000
Re  0.670  0.000  0.661
Re  0.330  0.339  0.000
Re  0.670  0.661  0.000
Re  0.330  0.000  0.339

***

Look up the E of the third one. -5.739 eV per atom

***

Which of these has the highest magnetization? Mn3InGe